The following is a PBE calculation of a relaxed structure of YBe2Zn, from Alexandria via LeMat-Bulk.

The structure in extended XYZ format:
```
12
Lattice="3.876 0.000 0.000 -1.938 3.357 0.000 0.000 0.000 14.640" Properties=species:S:1:pos:R:3 pbc="T T T"
Y 0.000 0.000 0.000
Y 0.000 2.238 9.760
Y 1.938 1.119 4.880
Be 0.000 0.000 2.890
Be 0.000 0.000 11.750
Be 0.000 2.238 6.870
Be 0.000 2.238 12.650
Be 1.938 1.119 1.990
Be 1.938 1.119 7.770
Zn 0.000 0.000 7.320
Zn 0.000 2.238 2.440
Zn 1.938 1.119 12.200
```

## Properties
Space-group type: R-3m (166)
Total magnetic moment in μB/f.u.: 0.0
D(E_F) in states/eV per atom: 0.803

The following is a PBE calculation of a relaxed structure of Pm2Y3Ga2, from Alexandria via LeMat-Bulk.

The structure in extended XYZ format:
```
14
Lattice="12.305 0.000 0.000 0.000 4.148 0.000 -3.470 0.000 7.945" Properties=species:S:1:pos:R:3 pbc="T T T"
Pm 0.789 0.000 2.465
Pm 1.894 2.074 5.480
Pm 6.941 2.074 2.465
Pm 8.046 0.000 5.480
Y -1.735 2.074 3.973
Y -1.776 2.074 7.463
Y 4.459 0.000 0.483
Y 4.417 0.000 3.973
Y 4.376 0.000 7.463
Y 10.611 2.074 0.483
Ga -0.378 0.000 5.685
Ga 3.061 2.074 2.261
Ga 5.774 2.074 5.685
Ga 9.213 0.000 2.261
```

## Properties
Space-group type: C2/m (12)
Total magnetic moment in μB/f.u.: 0.0
D(E_F) in states/eV per atom: 1.307

The following is a PBE calculation of a relaxed structure of BPdPb3, from Alexandria via LeMat-Bulk.

The structure in extended XYZ format:
```
5
Lattice="5.344 0.000 0.000 0.000 5.344 0.000 0.000 0.000 5.344" Properties=species:S:1:pos:R:3 pbc="T T T"
B 0.000 0.000 0.000
Pd 2.672 2.672 2.672
Pb 0.000 2.672 2.672
Pb 2.672 0.000 2.672
Pb 2.672 2.672 0.000
```

## Properties
Space-group type: Pm-3m (221)
Total magnetic moment in μB/f.u.: 0.0
D(E_F) in states/eV per atom: 1.229

no.,VASP energy (eV per atom)
1,-3.903
2,-5.318
3,-3.583